No. 1
InNiIr2 | GGA-PBE | relaxed

Lattice parameters (Å, degrees): 5.3045 5.3045 5.3045 148.23 128.92 61.42
Fractional coordinates of all 4 atoms:
In: 0.0000 0.0000 0.0000
Ni: 0.7536 0.2536 0.5000
Ir: 0.2683 0.7683 0.5000
Ir: 0.5213 0.5213 0.0000

Calculated values
formation energy: 194.4 meV/atom
mass density: 15.294 g cm⁻³
total energy: -25.46 eV for the cell shown

***

No. 2
InNi2Ir | GGA-PBE | relaxed

Lattice parameters (Å, degrees): 8.4799 8.4799 8.4799 19.33 19.33 19.33
Fractional coordinates of all 4 atoms:
In: 0.0000 0.0000 0.0000
Ni: 0.4934 0.4934 0.4934
Ni: 0.7522 0.7522 0.7522
Ir: 0.2396 0.2396 0.2396

Calculated values
formation energy: 273.4 meV/atom
mass density: 12.063 g cm⁻³
total energy: -22.07 eV for the cell shown